(1)
Tm2CdTc: relaxed, PBE-GGA.

POSCAR file:
```
Tm2CdTc
1.0
3.3937 0.0000 0.0000
1.6969 2.9390 0.0000
1.6969 0.9797 10.3732
Cd Tc Tm
1 1 2
Cartesian
0.0000 0.0000 0.0000
3.3937 1.9594 5.1866
5.0906 2.9390 3.2154
1.6969 0.9797 7.1578
```

Formation energy in meV/atom: 180
Symmetry: R-3m
Uncorrected energy in eV for the cell shown: -19.506

(2)
CdMo2As: relaxed, PBE-GGA.

POSCAR file:
```
CdMo2As
1.0
-2.9951 0.7548 0.3064
-0.8112 -2.6567 -1.3849
-0.1698 -3.2259 6.2876
Cd Mo As
1 2 1
Cartesian
-2.0305 -3.3703 4.1764
-0.0763 -1.4487 2.8237
-0.0086 -0.1642 0.3200
-1.9456 -1.7574 1.0326
```

Formation energy in meV/atom: 250
Symmetry: P4/mmm
Uncorrected energy in eV for the cell shown: -26.225

(3)
Li2Si3Ni8: relaxed, PBE-GGA.

POSCAR file:
```
Li2Si3Ni8
1.0
4.6917 0.0000 0.0000
2.3458 4.0631 0.0000
2.3458 1.3544 8.3177
Ni Li Si
8 2 3
Cartesian
4.6917 4.0587 5.4638
5.8607 3.3837 2.8539
2.3458 1.3544 1.4191
3.5226 2.0338 5.4638
4.6917 1.3588 2.8539
3.5226 3.3837 2.8539
7.0375 4.0631 6.8986
5.8608 2.0338 5.4638
4.6917 2.7087 0.8382
4.6917 2.7087 7.4794
0.0000 0.0000 0.0000
7.0375 4.0631 4.7347
2.3458 1.3544 3.5830
```

E_form (uncorrected) in eV/atom: -0.048
Symmetry: R-3m
Uncorrected energy in eV for the cell shown: -66.968

(4)
GeTeMoI2: relaxed, PBE-GGA.

POSCAR file:
```
GeTeMoI2
1.0
-1.1507 -0.5337 5.4287
4.8820 -2.5758 0.7816
2.3492 4.7452 0.9645
I Te Ge Mo
2 1 1 1
Cartesian
-0.5753 -0.2668 2.7143
2.4410 -1.2879 0.3908
1.1746 2.3726 0.4822
3.0402 0.8179 3.5874
0.0000 0.0000 0.0000
```

E_form (uncorrected) in eV/atom: 0.629
Symmetry: P4/mmm
Uncorrected energy in eV for the cell shown: -18.543

(5)
NiPb2Br: relaxed, PBE-GGA.

POSCAR file:
```
NiPb2Br
1.0
9.2459 0.0232 0.0138
8.5293 3.5692 0.0138
8.5293 1.7238 3.1254
Br Pb Ni
1 2 1
Cartesian
12.3987 2.5058 1.4861
6.5536 1.3245 0.7855
0.6413 0.1296 0.0769
19.8631 4.0144 2.3808
```

E_form (uncorrected) in eV/atom: -0.018
Symmetry: R3m
Uncorrected energy in eV for the cell shown: -14.945

(6)
CaZnPt2: relaxed, PBE-GGA.

POSCAR file:
```
CaZnPt2
1.0
-1.9174 6.1792 2.2543
-5.2503 -1.5671 -0.1701
0.6501 -3.1863 9.2868
Ca Pt Zn
4 8 4
Cartesian
-1.7374 0.0812 8.7109
-4.7802 1.3446 2.6601
-3.6877 -2.4006 3.4434
-0.9125 -2.3529 5.6732
-3.9350 -2.1832 9.0726
-2.5826 3.6090 2.2984
-0.6337 1.4964 5.7706
-3.2588 0.7129 5.6855
-1.8503 1.2491 1.4375
0.0000 0.0000 0.0000
-2.6251 -0.7835 -0.0851
-4.6673 0.1766 9.9336
-2.0783 1.7518 3.8419
-3.4419 -3.6053 6.9547
-4.4393 -0.3260 7.5291
-1.1583 -1.1481 2.1620
```

Formation energy in meV/atom: -309
Symmetry: Pmma
Uncorrected energy in eV for the cell shown: -66.367

(7)
Mg5TlHg: relaxed, PBE-GGA.

POSCAR file:
```
Mg5TlHg
1.0
-3.6780 0.1067 2.9704
-0.4451 -4.6920 -0.3858
9.1595 -1.8071 11.4066
Hg Tl Mg
2 2 10
Cartesian
4.8087 -3.6489 9.8466
0.2277 -2.7435 4.1446
0.0000 0.0000 0.0000
4.5798 -0.9035 5.7033
4.1747 -3.8326 12.8324
1.2106 -5.3272 5.4518
-1.1993 -4.8516 2.4508
1.7650 -3.3572 9.8312
3.1921 -1.2492 11.5249
3.2714 -3.0352 4.1600
0.8617 -2.5598 1.1588
6.2357 -1.5408 11.5404
1.8443 -5.1432 2.4663
3.8259 -1.0651 8.5394
```

Formation energy in meV/atom: -60
Symmetry: P4/mmm
Uncorrected energy in eV for the cell shown: -22.129

(8)
CaCo2S5: relaxed, PBE-GGA.

POSCAR file:
```
CaCo2S5
1.0
-1.2639 2.2656 2.8715
-6.3825 -1.9389 -1.2795
1.3331 -9.9624 8.4470
S Ca Co
10 2 4
Cartesian
-5.1673 -4.5883 3.9534
-4.1234 -1.2526 -0.8266
-1.1806 -1.1990 0.4264
-1.4589 -7.6413 5.3868
-4.9512 -6.2034 5.3228
-0.0636 -9.5463 7.5039
-3.5559 -8.1084 7.4399
-1.9770 -3.7698 2.1042
-4.3709 -2.0175 2.2756
-2.2245 -4.5347 5.2063
0.2262 -5.1150 4.1352
-6.5741 -0.6724 0.2445
-2.9324 -2.4323 0.6284
-3.4154 -3.3550 3.7514
-3.0190 -6.3176 6.2633
-1.9958 -9.4322 6.5634
```

E_form (uncorrected) in eV/atom: -0.611
Symmetry: Pmmn
Uncorrected energy in eV for the cell shown: -83.481

uncorrected energy of number 4 (GeTeMoI2)?
-18.543 eV for the cell shown

Number 1 is which compound?
Tm2CdTc

Which of these has the lowest uncorrected energy?
CaCo2S5